Record 1
A plane-wave DFT calculation with PBE with a Hubbard U was carried out for a relaxed VSnHg2O crystal.

Uncorrected energy, eV per atom: -2.530

Lattice parameters (Å, degrees): 4.779 4.779 4.471 90.00 90.00 90.00
Space group P4/mmm (No. 123)
One atom of each set of equivalent atoms:
V: 0.000 0.000 0.000
Sn: 0.500 0.500 0.000
Hg: 0.000 0.500 0.500
O: 0.500 0.500 0.500


Record 2
A plane-wave DFT calculation with PBE with a Hubbard U was carried out for a relaxed SnHgWO6 crystal.

Uncorrected energy, eV per atom: -5.995

Lattice parameters (Å, degrees): 5.4167 5.4167 9.8722 90.00 90.00 120.00
Space group P-31c (No. 163)
One atom of each set of equivalent atoms:
Sn: 0.3333 0.6667 0.2500
Hg: 0.0000 0.0000 0.0000
W: 0.3333 0.6667 0.7500
O: 0.0178 0.3814 0.6399